TmIn5Rh: PBEsol geometry, SCAN.

Lattice parameters (Å, degrees): 4.5688 4.5688 7.3140 90.00 90.00 90.00
Last column: nearest neighbours and their distance in Å.
Element x y z (fractional)
Tm (0.0000, 0.0000, 0.0000)  12 In 3.16-3.23
In (0.0000, 0.5000, 0.2983)  2 Rh 2.72, 1 In 2.95
In (0.0000, 0.5000, 0.7017)  2 Rh 2.72, 1 In 2.95
In (0.5000, 0.0000, 0.2983)  2 Rh 2.72, 1 In 2.95
In (0.5000, 0.0000, 0.7017)  2 Rh 2.72, 1 In 2.95
In (0.5000, 0.5000, 0.0000)  8 In 3.16, 4 Tm 3.23
Rh (0.0000, 0.0000, 0.5000)  8 In 2.72

Properties
M_tot: 0.00 μB/cell
DFT formation energy: -0.50 eV/atom